No. 1
# Ba3B6O11F2 | Alexandria via LeMat-Bulk | meta-GGA SCAN | single point on PBEsol structure
# Formation energy from raw total energies = -67.21 eV/f.u.
# Symmetry = P2_1 (4)
# Total energy = -13.91 eV/atom
data_Ba3B6O11F2
_symmetry_space_group_name_H-M 'P 1'
_symmetry_Int_Tables_number 1
_cell_length_a 6.566
_cell_length_b 8.520
_cell_length_c 9.691
_cell_angle_alpha 90.00
_cell_angle_beta 101.30
_cell_angle_gamma 90.00
loop_
_symmetry_equiv_pos_as_xyz
'x,y,z'
loop_
_atom_site_label
_atom_site_type_symbol
_atom_site_fract_x
_atom_site_fract_y
_atom_site_fract_z
_atom_site_occupancy
Ba1 Ba 0.006 0.000 0.239 1
Ba2 Ba 0.437 0.354 0.458 1
Ba3 Ba 0.437 0.847 0.963 1
Ba4 Ba 0.563 0.347 0.037 1
Ba5 Ba 0.563 0.854 0.542 1
Ba6 Ba 0.994 0.500 0.761 1
B1 B 0.006 0.680 0.452 1
B2 B 0.079 0.372 0.136 1
B3 B 0.084 0.147 0.934 1
B4 B 0.093 0.904 0.634 1
B5 B 0.288 0.619 0.203 1
B6 B 0.311 0.141 0.733 1
B7 B 0.689 0.641 0.267 1
B8 B 0.712 0.119 0.797 1
B9 B 0.907 0.404 0.366 1
B10 B 0.916 0.647 0.066 1
B11 B 0.921 0.872 0.864 1
B12 B 0.994 0.180 0.548 1
O1 O 0.006 0.323 0.265 1
O2 O 0.054 0.523 0.449 1
O3 O 0.059 0.977 0.959 1
O4 O 0.114 0.709 0.158 1
O5 O 0.123 0.226 0.070 1
O6 O 0.144 0.780 0.535 1
O7 O 0.176 0.240 0.624 1
O8 O 0.264 0.179 0.870 1
O9 O 0.284 0.459 0.188 1
O10 O 0.290 0.976 0.696 1
O11 O 0.470 0.695 0.264 1
O12 O 0.530 0.195 0.736 1
O13 O 0.710 0.476 0.304 1
O14 O 0.716 0.959 0.812 1
O15 O 0.736 0.679 0.130 1
O16 O 0.824 0.740 0.376 1
O17 O 0.856 0.280 0.465 1
O18 O 0.877 0.726 0.930 1
O19 O 0.886 0.209 0.842 1
O20 O 0.941 0.477 0.041 1
O21 O 0.946 0.023 0.551 1
O22 O 0.994 0.823 0.735 1
F1 F 0.357 0.564 0.888 1
F2 F 0.368 0.067 0.387 1
F3 F 0.632 0.567 0.613 1
F4 F 0.643 0.064 0.112 1

=====

No. 2
# BaBOF3 | Alexandria via LeMat-Bulk | meta-GGA SCAN | single point on PBEsol structure
# Formation energy from raw total energies = -20.44 eV/f.u.
# Symmetry = Pnma (62)
# Total energy = -14.05 eV/atom
data_BaBOF3
_symmetry_space_group_name_H-M 'P 1'
_symmetry_Int_Tables_number 1
_cell_length_a 9.209
_cell_length_b 5.064
_cell_length_c 6.809
_cell_angle_alpha 90.00
_cell_angle_beta 90.00
_cell_angle_gamma 90.00
loop_
_symmetry_equiv_pos_as_xyz
'x,y,z'
loop_
_atom_site_label
_atom_site_type_symbol
_atom_site_fract_x
_atom_site_fract_y
_atom_site_fract_z
_atom_site_occupancy
Ba1 Ba 0.192 0.250 0.174 1
Ba2 Ba 0.308 0.750 0.674 1
Ba3 Ba 0.692 0.250 0.326 1
Ba4 Ba 0.808 0.750 0.826 1
B1 B 0.078 0.250 0.676 1
B2 B 0.422 0.750 0.176 1
B3 B 0.578 0.250 0.824 1
B4 B 0.922 0.750 0.324 1
O1 O 0.199 0.250 0.563 1
O2 O 0.301 0.750 0.063 1
O3 O 0.699 0.250 0.937 1
O4 O 0.801 0.750 0.437 1
F1 F 0.064 0.750 0.415 1
F2 F 0.070 0.023 0.817 1
F3 F 0.070 0.477 0.817 1
F4 F 0.430 0.523 0.317 1
F5 F 0.430 0.977 0.317 1
F6 F 0.436 0.250 0.915 1
F7 F 0.564 0.750 0.085 1
F8 F 0.570 0.023 0.683 1
F9 F 0.570 0.477 0.683 1
F10 F 0.930 0.523 0.183 1
F11 F 0.930 0.977 0.183 1
F12 F 0.936 0.250 0.585 1

=====

No. 3
# Ba3Sr4B3O9F5 | Alexandria via LeMat-Bulk | meta-GGA SCAN | single point on PBEsol structure
# Formation energy from raw total energies = -82.29 eV/f.u.
# Symmetry = P6_3mc (186)
# Total energy = -16.09 eV/atom
data_Ba3Sr4B3O9F5
_symmetry_space_group_name_H-M 'P 1'
_symmetry_Int_Tables_number 1
_cell_length_a 10.683
_cell_length_b 10.683
_cell_length_c 7.028
_cell_angle_alpha 90.00
_cell_angle_beta 90.00
_cell_angle_gamma 120.00
loop_
_symmetry_equiv_pos_as_xyz
'x,y,z'
loop_
_atom_site_label
_atom_site_type_symbol
_atom_site_fract_x
_atom_site_fract_y
_atom_site_fract_z
_atom_site_occupancy
Ba1 Ba 0.141 0.282 0.000 1
Ba2 Ba 0.141 0.859 0.000 1
Ba3 Ba 0.282 0.141 0.500 1
Ba4 Ba 0.718 0.859 0.000 1
Ba5 Ba 0.859 0.141 0.500 1
Ba6 Ba 0.859 0.718 0.500 1
Sr1 Sr 0.072 0.536 0.657 1
Sr2 Sr 0.333 0.667 0.230 1
Sr3 Sr 0.464 0.536 0.657 1
Sr4 Sr 0.464 0.928 0.657 1
Sr5 Sr 0.536 0.072 0.157 1
Sr6 Sr 0.536 0.464 0.157 1
Sr7 Sr 0.667 0.333 0.730 1
Sr8 Sr 0.928 0.464 0.157 1
B1 B 0.189 0.378 0.438 1
B2 B 0.189 0.811 0.438 1
B3 B 0.378 0.189 0.938 1
B4 B 0.622 0.811 0.438 1
B5 B 0.811 0.189 0.938 1
B6 B 0.811 0.622 0.938 1
O1 O 0.090 0.402 0.343 1
O2 O 0.090 0.688 0.343 1
O3 O 0.166 0.332 0.625 1
O4 O 0.166 0.834 0.625 1
O5 O 0.312 0.402 0.343 1
O6 O 0.312 0.910 0.343 1
O7 O 0.332 0.166 0.125 1
O8 O 0.402 0.090 0.843 1
O9 O 0.402 0.312 0.843 1
O10 O 0.598 0.688 0.343 1
O11 O 0.598 0.910 0.343 1
O12 O 0.668 0.834 0.625 1
O13 O 0.688 0.090 0.843 1
O14 O 0.688 0.598 0.843 1
O15 O 0.834 0.166 0.125 1
O16 O 0.834 0.668 0.125 1
O17 O 0.910 0.312 0.843 1
O18 O 0.910 0.598 0.843 1
F1 F 0.000 0.000 0.407 1
F2 F 0.000 0.000 0.907 1
F3 F 0.155 0.578 0.982 1
F4 F 0.333 0.667 0.577 1
F5 F 0.422 0.578 0.982 1
F6 F 0.422 0.845 0.982 1
F7 F 0.578 0.155 0.482 1
F8 F 0.578 0.422 0.482 1
F9 F 0.667 0.333 0.077 1
F10 F 0.845 0.422 0.482 1

=====

No. 4
# Ba5Zn2B4O12F2 | Alexandria via LeMat-Bulk | meta-GGA SCAN | single point on PBEsol structure
# Formation energy from raw total energies = -72.94 eV/f.u.
# Symmetry = C2/c (15)
# Total energy = -16.37 eV/atom
data_Ba5Zn2B4O12F2
_symmetry_space_group_name_H-M 'P 1'
_symmetry_Int_Tables_number 1
_cell_length_a 13.367
_cell_length_b 13.367
_cell_length_c 7.987
_cell_angle_alpha 104.92
_cell_angle_beta 104.92
_cell_angle_gamma 31.54
loop_
_symmetry_equiv_pos_as_xyz
'x,y,z'
loop_
_atom_site_label
_atom_site_type_symbol
_atom_site_fract_x
_atom_site_fract_y
_atom_site_fract_z
_atom_site_occupancy
Ba1 Ba 0.069 0.931 0.750 1
Ba2 Ba 0.075 0.260 0.406 1
Ba3 Ba 0.260 0.075 0.906 1
Ba4 Ba 0.314 0.536 0.336 1
Ba5 Ba 0.464 0.686 0.164 1
Ba6 Ba 0.536 0.314 0.836 1
Ba7 Ba 0.686 0.464 0.664 1
Ba8 Ba 0.740 0.925 0.094 1
Ba9 Ba 0.925 0.740 0.594 1
Ba10 Ba 0.931 0.069 0.250 1
Zn1 Zn 0.155 0.463 0.985 1
Zn2 Zn 0.463 0.155 0.485 1
Zn3 Zn 0.537 0.845 0.515 1
Zn4 Zn 0.845 0.537 0.015 1
B1 B 0.116 0.731 0.970 1
B2 B 0.122 0.427 0.278 1
B3 B 0.269 0.884 0.530 1
B4 B 0.427 0.122 0.778 1
B5 B 0.573 0.878 0.222 1
B6 B 0.731 0.116 0.470 1
B7 B 0.878 0.573 0.722 1
B8 B 0.884 0.269 0.030 1
O1 O 0.072 0.104 0.092 1
O2 O 0.079 0.368 0.165 1
O3 O 0.091 0.545 0.230 1
O4 O 0.104 0.072 0.592 1
O5 O 0.191 0.372 0.447 1
O6 O 0.204 0.563 0.976 1
O7 O 0.227 0.726 0.040 1
O8 O 0.274 0.773 0.460 1
O9 O 0.368 0.079 0.665 1
O10 O 0.372 0.191 0.947 1
O11 O 0.437 0.796 0.524 1
O12 O 0.455 0.909 0.270 1
O13 O 0.545 0.091 0.730 1
O14 O 0.563 0.204 0.476 1
O15 O 0.628 0.809 0.053 1
O16 O 0.632 0.921 0.335 1
O17 O 0.726 0.227 0.540 1
O18 O 0.773 0.274 0.960 1
O19 O 0.796 0.437 0.024 1
O20 O 0.809 0.628 0.553 1
O21 O 0.896 0.928 0.408 1
O22 O 0.909 0.455 0.770 1
O23 O 0.921 0.632 0.835 1
O24 O 0.928 0.896 0.908 1
F1 F 0.233 0.611 0.651 1
F2 F 0.389 0.767 0.849 1
F3 F 0.611 0.233 0.151 1
F4 F 0.767 0.389 0.349 1